Computed, not measured: crystalline Sr2InIr at its relaxed geometry at the PBEsol level of DFT.

Cell lengths 5.1152, 5.1152, 5.1152 Å; angles 60.00, 60.00, 60.00 degrees
Fractional positions:
In (0.5000, 0.5000, 0.5000)
Ir (0.2500, 0.2500, 0.2500)
Sr (0.7500, 0.7500, 0.7500)
Sr (0.0000, 0.0000, 0.0000)

Summary:
SG: F-43m, No. 216
Energy of formation: 6.3 kJ/mol of formula units
Magnetic moment: 0.000 μB/f.u.
N(E_F): 5.67 states/eV per cell

Computed, not measured: crystalline SrInIr2 at its relaxed geometry at the PBEsol level of DFT.

Cell lengths 3.2904, 3.2904, 7.1102 Å; angles 90.00, 90.00, 90.00 degrees
Fractional positions:
In (0.5000, 0.5000, 0.5000)
Ir (0.0000, 0.0000, 0.2929)
Sr (0.5000, 0.5000, 0.0000)
Ir (0.0000, 0.0000, 0.7071)

Summary:
SG: P4/mmm, No. 123
Energy of formation: 47.1 kJ/mol of formula units
Magnetic moment: 0.000 μB/f.u.
N(E_F): 2.44 states/eV per cell

Computed, not measured: crystalline SrIn2Ir at its relaxed geometry at the PBEsol level of DFT.

Cell lengths 4.8884, 4.9280, 4.8884 Å; angles 60.27, 90.00, 119.73 degrees
Fractional positions:
In (0.7500, 0.5000, 0.7500)
Ir (0.5000, 0.0000, 0.5000)
Sr (0.0000, 0.0000, 0.0000)
In (0.2500, 0.5000, 0.2500)

Summary:
SG: I4/mmm, No. 139
Energy of formation: -49.7 kJ/mol of formula units
Magnetic moment: 0.000 μB/f.u.
N(E_F): 1.80 states/eV per cell